# 1
# Li4NbCo3O8

Crystalline Li4NbCo3O8 at its relaxed geometry (GGA-PBEsol, Alexandria via LeMat-Bulk).

The calculation puts the density of states at the Fermi level at 8.9 states/eV/cell. Its crystal system is monoclinic. As for the space-group type: C2/m, No. 12. The energy relative to the lowest polymorph listed for this composition is 0.007 eV per atom.

Cell and atoms, written as POSCAR:
```
Li4NbCo3O8
1.0
5.128 -2.812 0.000
5.128 2.812 0.000
-3.356 0.000 4.860
Li Nb Co O
4 1 3 8
direct
0.000 0.000 0.000
0.000 0.500 0.000
0.500 0.000 0.000
0.500 0.500 0.000
0.000 0.000 0.500
0.000 0.500 0.500
0.500 0.000 0.500
0.500 0.500 0.500
0.241 0.241 0.745
0.256 0.741 0.257
0.259 0.744 0.743
0.272 0.272 0.290
0.728 0.728 0.710
0.741 0.256 0.257
0.744 0.259 0.743
0.759 0.759 0.255
```



# 2
# CdTeAu2

Crystalline CdTeAu2 at its relaxed geometry (GGA-PBEsol, Alexandria via LeMat-Bulk).

The calculation puts the density of states at the Fermi level at 1.2 states/eV/cell. Its crystal system is orthorhombic. As for the space-group type: Pmmm, No. 47. The energy relative to the lowest polymorph listed for this composition is 0.000 eV per atom.

Cell and atoms, written as POSCAR:
```
CdTeAu2
1.0
2.985 0.000 0.000
0.000 4.024 0.000
0.000 0.000 6.967
Cd Te Au
1 1 2
direct
0.000 0.000 0.000
0.500 0.000 0.500
0.500 0.500 0.206
0.500 0.500 0.794
```



# 3
# Sc2TcH

Crystalline Sc2TcH at its relaxed geometry (GGA-PBEsol, Alexandria via LeMat-Bulk).

The calculation puts the density of states at the Fermi level at 7.5 states/eV/cell. Its crystal system is tetragonal. As for the space-group type: I-42d, No. 122. The energy relative to the lowest polymorph listed for this composition is 0.000 eV per atom.

Cell and atoms, written as POSCAR:
```
Sc2TcH
1.0
-3.011 3.011 3.260
3.011 -3.011 3.260
3.011 3.011 -3.260
Sc Tc H
4 2 2
direct
0.040 0.625 0.915
0.375 0.290 0.415
0.710 0.125 0.085
0.875 0.960 0.585
0.250 0.750 0.500
0.500 0.500 0.000
0.000 0.000 0.000
0.750 0.250 0.500
```



# 4
# NiB2Te

Crystalline NiB2Te at its relaxed geometry (GGA-PBEsol, Alexandria via LeMat-Bulk).

The calculation puts the density of states at the Fermi level at 2.5 states/eV/cell. Its crystal system is tetragonal. The total energy comes out at -5.4898 eV per atom. As for the space-group type: I-42d, No. 122.

Cell and atoms, written as POSCAR:
```
NiB2Te
1.0
-1.893 1.893 6.977
1.893 -1.893 6.977
1.893 1.893 -6.977
Ni B Te
2 4 2
direct
0.000 0.000 0.000
0.750 0.250 0.500
0.375 0.172 0.297
0.828 0.125 0.203
0.875 0.078 0.703
0.922 0.625 0.797
0.250 0.750 0.500
0.500 0.500 0.000
```



# 5
# SnAsPdS2

Crystalline SnAsPdS2 at its relaxed geometry (GGA-PBEsol, Alexandria via LeMat-Bulk).

The calculation puts the density of states at the Fermi level at 4.8 states/eV/cell. Its crystal system is tetragonal. The total energy comes out at -4.5574 eV per atom. As for the space-group type: P4/mmm, No. 123.

Cell and atoms, written as POSCAR:
```
SnAsPdS2
1.0
4.660 0.000 0.000
0.000 4.660 0.000
0.000 0.000 4.850
Sn As Pd S
1 1 1 2
direct
0.000 0.000 0.000
0.500 0.500 0.000
0.500 0.500 0.500
0.000 0.500 0.500
0.500 0.000 0.500
```



# 6
# AlCdCuAu2

Crystalline AlCdCuAu2 at its relaxed geometry (GGA-PBEsol, Alexandria via LeMat-Bulk).

The calculation puts the density of states at the Fermi level at 1.8 states/eV/cell. Its crystal system is tetragonal. The value obtained for the formation energy is 513.9 meV per atom. As for the space-group type: P4/mmm, No. 123.

Cell and atoms, written as POSCAR:
```
AlCdCuAu2
1.0
4.744 0.000 0.000
0.000 4.744 0.000
0.000 0.000 4.704
Al Cd Cu Au
1 1 1 2
direct
0.000 0.000 0.000
0.500 0.500 0.000
0.500 0.500 0.500
0.000 0.500 0.500
0.500 0.000 0.500
```



# 7
# Sr2PH4F13

Crystalline Sr2PH4F13 at its relaxed geometry (GGA-PBEsol, Alexandria via LeMat-Bulk).

The calculation puts the density of states at the Fermi level at 0.0 states/eV/cell. Its crystal system is tetragonal. The total energy comes out at -5.0763 eV per atom. As for the space-group type: P4_122, No. 91.

Cell and atoms, written as POSCAR:
```
Sr2PH4F13
1.0
7.352 0.000 0.000
0.000 7.352 0.000
0.000 0.000 17.907
Sr P H F
8 4 16 52
direct
0.237 0.243 0.209
0.237 0.757 0.291
0.243 0.237 0.541
0.243 0.763 0.959
0.757 0.237 0.459
0.757 0.763 0.041
0.763 0.243 0.791
0.763 0.757 0.709
0.274 0.500 0.750
0.500 0.274 0.000
0.500 0.726 0.500
0.726 0.500 0.250
0.032 0.112 0.056
0.032 0.888 0.444
0.112 0.032 0.694
0.112 0.968 0.806
0.137 0.387 0.377
0.137 0.613 0.123
0.387 0.137 0.373
0.387 0.863 0.127
0.613 0.137 0.627
0.613 0.863 0.873
0.863 0.387 0.623
0.863 0.613 0.877
0.888 0.032 0.306
0.888 0.968 0.194
0.968 0.112 0.944
0.968 0.888 0.556
0.000 0.006 0.500
0.000 0.994 0.000
0.006 0.000 0.250
0.056 0.204 0.098
0.056 0.796 0.402
0.068 0.336 0.429
0.068 0.664 0.071
0.119 0.348 0.766
0.119 0.652 0.734
0.204 0.056 0.652
0.204 0.944 0.848
0.207 0.436 0.322
0.207 0.564 0.178
0.275 0.445 0.662
0.275 0.555 0.838
0.336 0.068 0.321
0.336 0.932 0.179
0.348 0.119 0.984
0.348 0.432 0.984
0.348 0.568 0.516
0.348 0.881 0.516
0.432 0.348 0.766
0.432 0.652 0.734
0.436 0.207 0.428
0.436 0.793 0.072
0.445 0.275 0.088
0.445 0.725 0.412
0.555 0.275 0.912
0.555 0.725 0.588
0.564 0.207 0.572
0.564 0.793 0.928
0.568 0.348 0.234
0.568 0.652 0.266
0.652 0.119 0.016
0.652 0.432 0.016
0.652 0.568 0.484
0.652 0.881 0.484
0.664 0.068 0.679
0.664 0.932 0.821
0.725 0.445 0.338
0.725 0.555 0.162
0.793 0.436 0.678
0.793 0.564 0.822
0.796 0.056 0.348
0.796 0.944 0.152
0.881 0.348 0.234
0.881 0.652 0.266
0.932 0.336 0.571
0.932 0.664 0.929
0.944 0.204 0.902
0.944 0.796 0.598
0.994 0.000 0.750
```



# 8
# Mg2ScSi

Crystalline Mg2ScSi at its relaxed geometry (GGA-PBEsol, Alexandria via LeMat-Bulk).

The calculation puts the density of states at the Fermi level at 2.7 states/eV/cell. Its crystal system is tetragonal. The total energy comes out at -3.9472 eV per atom. As for the space-group type: P4/mmm, No. 123.

Cell and atoms, written as POSCAR:
```
Mg2ScSi
1.0
3.195 0.000 0.000
0.000 3.195 0.000
0.000 0.000 7.867
Mg Sc Si
2 1 1
direct
0.000 0.000 0.214
0.000 0.000 0.786
0.500 0.500 0.500
0.500 0.500 0.000
```



# 9
# CaY2Al2

Crystalline CaY2Al2 at its relaxed geometry (GGA-PBEsol, Alexandria via LeMat-Bulk).

The calculation puts the density of states at the Fermi level at 12.5 states/eV/cell. Its crystal system is tetragonal. The value obtained for the formation energy is -282.8 meV per atom. As for the space-group type: P4/mbm, No. 127. The energy relative to the lowest polymorph listed for this composition is 0.000 eV per atom.

Cell and atoms, written as POSCAR:
```
CaY2Al2
1.0
8.323 0.000 0.000
0.000 8.323 0.000
0.000 0.000 3.772
Ca Y Al
2 4 4
direct
0.000 0.000 0.000
0.500 0.500 0.000
0.177 0.323 0.500
0.323 0.823 0.500
0.677 0.177 0.500
0.823 0.677 0.500
0.117 0.617 0.000
0.383 0.117 0.000
0.617 0.883 0.000
0.883 0.383 0.000
```



# 10
# ErVO3

Crystalline ErVO3 at its relaxed geometry (GGA-PBEsol, Alexandria via LeMat-Bulk).

The calculation puts the density of states at the Fermi level at 11.8 states/eV/cell. Its crystal system is orthorhombic. The total energy comes out at -9.0724 eV per atom. As for the space-group type: Pnma, No. 62.

Cell and atoms, written as POSCAR:
```
ErVO3
1.0
5.567 0.000 0.000
0.000 7.481 0.000
0.000 0.000 5.157
Er V O
4 4 12
direct
0.074 0.250 0.022
0.426 0.750 0.522
0.574 0.250 0.478
0.926 0.750 0.978
0.000 0.000 0.500
0.000 0.500 0.500
0.500 0.000 0.000
0.500 0.500 0.000
0.043 0.750 0.383
0.195 0.558 0.811
0.195 0.942 0.811
0.305 0.058 0.311
0.305 0.442 0.311
0.457 0.250 0.883
0.543 0.750 0.117
0.695 0.558 0.689
0.695 0.942 0.689
0.805 0.058 0.189
0.805 0.442 0.189
0.957 0.250 0.617
```



# 11
# CsSr2LaRu

Crystalline CsSr2LaRu at its relaxed geometry (GGA-PBEsol, Alexandria via LeMat-Bulk).

The calculation puts the density of states at the Fermi level at 5.5 states/eV/cell. Its crystal system is tetragonal. The value obtained for the formation energy is 656.1 meV per atom. As for the space-group type: P4/mmm, No. 123.

Cell and atoms, written as POSCAR:
```
CsSr2LaRu
1.0
6.862 0.000 0.000
0.000 6.862 0.000
0.000 0.000 4.728
Cs Sr La Ru
1 2 1 1
direct
0.000 0.000 0.000
0.000 0.500 0.500
0.500 0.000 0.500
0.500 0.500 0.500
0.500 0.500 0.000
```



# 12
# LaAl3Pd2

Crystalline LaAl3Pd2 at its relaxed geometry (GGA-PBEsol, Alexandria via LeMat-Bulk).

The calculation puts the density of states at the Fermi level at 3.1 states/eV/cell. Its crystal system is hexagonal. The value obtained for the formation energy is -843.4 meV per atom. As for the space-group type: P6/mmm, No. 191.

Cell and atoms, written as POSCAR:
```
LaAl3Pd2
1.0
5.478 0.000 0.000
-2.739 4.744 0.000
0.000 0.000 4.200
La Al Pd
1 3 2
direct
0.000 0.000 0.000
0.000 0.500 0.500
0.500 0.000 0.500
0.500 0.500 0.500
0.333 0.667 0.000
0.667 0.333 0.000
```



- The lowest density of states at the Fermi level belongs to which entry?
  Sr2PH4F13